No. 1
# AgPtAu14

AgPtAu14 after structural relaxation (PBE-GGA, Alexandria via LeMat-Bulk).

Lattice parameters (Å, degrees): 9.693 5.742 5.742 63.64 90.00 90.00
Sites, in units of the cell vectors:
Ag 0.000 0.000 0.000
Pt 0.000 0.498 0.498
Au 0.000 0.502 0.997
Au 0.000 0.997 0.502
Au 0.246 0.322 0.322
Au 0.247 0.323 0.821
Au 0.247 0.821 0.323
Au 0.250 0.823 0.823
Au 0.500 0.146 0.146
Au 0.500 0.147 0.646
Au 0.500 0.646 0.147
Au 0.500 0.646 0.646
Au 0.750 0.823 0.823
Au 0.753 0.323 0.821
Au 0.753 0.821 0.323
Au 0.754 0.322 0.322

Formation enthalpy at 0 K ... 0.010 eV per atom
DOS at the Fermi energy ... 0.2492 states/eV/atom



No. 2
# Th2Si2Pd3

Th2Si2Pd3 after structural relaxation (PBE-GGA, Alexandria via LeMat-Bulk).

Lattice parameters (Å, degrees): 10.556 4.077 6.992 90.00 114.28 90.00
Sites, in units of the cell vectors:
Th 0.140 0.000 0.269
Th 0.360 0.500 0.731
Th 0.640 0.500 0.269
Th 0.860 0.000 0.731
Si 0.145 0.000 0.717
Si 0.355 0.500 0.283
Si 0.645 0.500 0.717
Si 0.855 0.000 0.283
Pd 0.000 0.500 0.500
Pd 0.127 0.500 0.935
Pd 0.373 0.000 0.065
Pd 0.500 0.000 0.500
Pd 0.627 0.000 0.935
Pd 0.873 0.500 0.065

DOS at the Fermi energy ... 0.5638 states/eV/atom
Formation energy without anion corrections ... -6.07 eV/f.u.



No. 3
# Tb3CdRh4

Tb3CdRh4 after structural relaxation (PBE-GGA, Alexandria via LeMat-Bulk).

Lattice parameters (Å, degrees): 8.264 8.264 8.264 33.68 33.68 33.68
Sites, in units of the cell vectors:
Tb 0.000 0.000 0.000
Tb 0.243 0.243 0.243
Tb 0.757 0.757 0.757
Cd 0.500 0.500 0.500
Rh 0.122 0.122 0.122
Rh 0.375 0.375 0.375
Rh 0.625 0.625 0.625
Rh 0.878 0.878 0.878

Formation enthalpy at 0 K ... -0.728 eV per atom
DOS at the Fermi energy ... 0.3882 states/eV/atom



No. 4
# Cd3NiPt6

Cd3NiPt6 after structural relaxation (PBE-GGA, Alexandria via LeMat-Bulk).

Lattice parameters (Å, degrees): 7.614 4.628 10.091 90.00 111.90 90.00
Sites, in units of the cell vectors:
Cd 0.093 0.250 0.230
Cd 0.295 0.250 0.021
Cd 0.322 0.750 0.378
Cd 0.678 0.250 0.622
Cd 0.705 0.750 0.979
Cd 0.907 0.750 0.770
Ni 0.099 0.750 0.569
Ni 0.901 0.250 0.431
Pt 0.086 0.250 0.712
Pt 0.111 0.750 0.071
Pt 0.274 0.250 0.532
Pt 0.297 0.750 0.855
Pt 0.486 0.750 0.671
Pt 0.490 0.250 0.828
Pt 0.510 0.750 0.172
Pt 0.514 0.250 0.329
Pt 0.703 0.250 0.145
Pt 0.726 0.750 0.468
Pt 0.889 0.250 0.929
Pt 0.914 0.750 0.288

Formation enthalpy at 0 K ... -0.163 eV per atom
DOS at the Fermi energy ... 0.9336 states/eV/atom



No. 5
# Tm3Si2Ru2

Tm3Si2Ru2 after structural relaxation (PBE-GGA, Alexandria via LeMat-Bulk).

Lattice parameters (Å, degrees): 5.499 7.482 13.346 90.00 90.00 90.00
Sites, in units of the cell vectors:
Tm 0.126 0.241 0.250
Tm 0.126 0.259 0.750
Tm 0.356 0.600 0.101
Tm 0.356 0.600 0.399
Tm 0.356 0.900 0.601
Tm 0.356 0.900 0.899
Tm 0.644 0.100 0.101
Tm 0.644 0.100 0.399
Tm 0.644 0.400 0.601
Tm 0.644 0.400 0.899
Tm 0.874 0.741 0.250
Tm 0.874 0.759 0.750
Si 0.110 0.250 0.000
Si 0.110 0.250 0.500
Si 0.367 0.608 0.750
Si 0.367 0.892 0.250
Si 0.633 0.108 0.750
Si 0.633 0.392 0.250
Si 0.890 0.750 0.000
Si 0.890 0.750 0.500
Ru 0.148 0.530 0.591
Ru 0.148 0.530 0.909
Ru 0.148 0.970 0.091
Ru 0.148 0.970 0.409
Ru 0.852 0.030 0.591
Ru 0.852 0.030 0.909
Ru 0.852 0.470 0.091
Ru 0.852 0.470 0.409

DOS at the Fermi energy ... 0.5222 states/eV/atom
Formation energy without anion corrections ... -5.43 eV/f.u.



No. 6
# Na3Tl12Sb

Na3Tl12Sb after structural relaxation (PBE-GGA, Alexandria via LeMat-Bulk).

Lattice parameters (Å, degrees): 5.044 5.044 18.643 90.00 90.00 90.00
Sites, in units of the cell vectors:
Na 0.000 0.000 0.000
Na 0.000 0.000 0.248
Na 0.000 0.000 0.752
Tl 0.000 0.500 0.124
Tl 0.000 0.500 0.375
Tl 0.000 0.500 0.625
Tl 0.000 0.500 0.876
Tl 0.500 0.000 0.124
Tl 0.500 0.000 0.375
Tl 0.500 0.000 0.625
Tl 0.500 0.000 0.876
Tl 0.500 0.500 0.000
Tl 0.500 0.500 0.246
Tl 0.500 0.500 0.500
Tl 0.500 0.500 0.754
Sb 0.000 0.000 0.500

DOS at the Fermi energy ... 0.4013 states/eV/atom
Formation energy without anion corrections ... -0.96 eV/f.u.



No. 7
# Zn2P3H10CN3O12

Zn2P3H10CN3O12 after structural relaxation (PBE-GGA, Alexandria via LeMat-Bulk).

Lattice parameters (Å, degrees): 5.232 7.896 16.795 90.00 90.32 90.00
Sites, in units of the cell vectors:
Zn 0.202 0.000 0.419
Zn 0.210 0.793 0.087
Zn 0.790 0.293 0.913
Zn 0.798 0.500 0.581
P 0.290 0.418 0.998
P 0.299 0.384 0.490
P 0.469 0.886 0.254
P 0.531 0.386 0.746
P 0.701 0.884 0.510
P 0.710 0.918 0.002
H 0.074 0.846 0.641
H 0.118 0.991 0.873
H 0.180 0.292 0.165
H 0.190 0.215 0.262
H 0.267 0.326 0.646
H 0.269 0.472 0.838
H 0.313 0.984 0.672
H 0.328 0.142 0.036
H 0.330 0.660 0.462
H 0.351 0.061 0.806
H 0.649 0.561 0.194
H 0.670 0.160 0.538
H 0.672 0.642 0.964
H 0.687 0.484 0.328
H 0.731 0.972 0.162
H 0.733 0.826 0.354
H 0.810 0.715 0.738
H 0.820 0.792 0.835
H 0.882 0.491 0.127
H 0.926 0.346 0.359
C 0.088 0.894 0.761
C 0.912 0.394 0.239
N 0.124 0.305 0.223
N 0.183 0.894 0.687
N 0.206 0.979 0.819
N 0.794 0.479 0.181
N 0.817 0.394 0.313
N 0.876 0.805 0.777
O 0.141 0.385 0.920
O 0.148 0.411 0.569
O 0.177 0.561 0.048
O 0.190 0.244 0.438
O 0.265 0.257 0.054
O 0.276 0.549 0.437
O 0.287 0.990 0.305
O 0.344 0.764 0.195
O 0.354 0.268 0.693
O 0.362 0.521 0.791
O 0.416 0.852 0.487
O 0.424 0.949 0.022
O 0.576 0.449 0.978
O 0.584 0.352 0.513
O 0.638 0.021 0.209
O 0.646 0.768 0.307
O 0.656 0.264 0.805
O 0.713 0.490 0.695
O 0.724 0.049 0.563
O 0.735 0.757 0.946
O 0.810 0.744 0.562
O 0.823 0.061 0.952
O 0.852 0.911 0.431
O 0.859 0.885 0.080

DOS at the Fermi energy ... 0.0000 states/eV/atom
Electronic total energy ... -374.452 eV for the cell shown



No. 8
# In12GaHg3

In12GaHg3 after structural relaxation (PBE-GGA, Alexandria via LeMat-Bulk).

Lattice parameters (Å, degrees): 4.756 4.756 18.465 90.00 90.00 90.00
Sites, in units of the cell vectors:
In 0.000 0.000 0.000
In 0.000 0.000 0.247
In 0.000 0.000 0.500
In 0.000 0.000 0.753
In 0.000 0.500 0.120
In 0.000 0.500 0.374
In 0.000 0.500 0.626
In 0.000 0.500 0.880
In 0.500 0.000 0.120
In 0.500 0.000 0.374
In 0.500 0.000 0.626
In 0.500 0.000 0.880
Ga 0.500 0.500 0.000
Hg 0.500 0.500 0.247
Hg 0.500 0.500 0.500
Hg 0.500 0.500 0.753

Formation enthalpy at 0 K ... 0.024 eV per atom
DOS at the Fermi energy ... 0.4649 states/eV/atom



No. 9
# Tb4Sm7Tm

Tb4Sm7Tm after structural relaxation (PBE-GGA, Alexandria via LeMat-Bulk).

Lattice parameters (Å, degrees): 6.277 7.242 8.936 89.99 76.47 89.98
Sites, in units of the cell vectors:
Tb 0.222 0.000 0.334
Tb 0.278 0.250 0.668
Tb 0.722 0.750 0.332
Tb 0.778 0.000 0.666
Sm 0.000 0.000 0.000
Sm 0.221 0.500 0.334
Sm 0.279 0.751 0.667
Sm 0.499 0.249 0.000
Sm 0.501 0.751 0.000
Sm 0.721 0.249 0.333
Sm 0.779 0.500 0.666
Tm 0.000 0.500 0.000

Formation enthalpy at 0 K ... 0.006 eV per atom
Offset from the most stable computed form ... 0.000 eV per atom
DOS at the Fermi energy ... 1.2547 states/eV/atom



No. 10
# In19Hg6Pb4

In19Hg6Pb4 after structural relaxation (PBE-GGA, Alexandria via LeMat-Bulk).

Lattice parameters (Å, degrees): 10.317 10.317 10.317 109.47 109.47 109.47
Sites, in units of the cell vectors:
In 0.000 0.000 0.000
In 0.000 0.305 0.305
In 0.000 0.695 0.695
In 0.002 0.198 0.658
In 0.195 0.998 0.656
In 0.198 0.658 0.002
In 0.305 0.000 0.305
In 0.305 0.305 0.000
In 0.342 0.540 0.344
In 0.344 0.342 0.540
In 0.460 0.802 0.805
In 0.540 0.344 0.342
In 0.656 0.195 0.998
In 0.658 0.002 0.198
In 0.695 0.000 0.695
In 0.695 0.695 0.000
In 0.802 0.805 0.460
In 0.805 0.460 0.802
In 0.998 0.656 0.195
Hg 0.168 0.500 0.668
Hg 0.332 0.832 0.500
Hg 0.500 0.332 0.832
Hg 0.500 0.668 0.168
Hg 0.668 0.168 0.500
Hg 0.832 0.500 0.332
Pb 0.000 0.000 0.316
Pb 0.000 0.316 0.000
Pb 0.316 0.000 0.000
Pb 0.684 0.684 0.684

Formation enthalpy at 0 K ... 0.061 eV per atom
DOS at the Fermi energy ... 0.5270 states/eV/atom



No. 11
# Na2AlTl

Na2AlTl after structural relaxation (PBE-GGA, Alexandria via LeMat-Bulk).

Lattice parameters (Å, degrees): 3.332 3.332 35.033 90.00 90.00 120.00
Sites, in units of the cell vectors:
Na 0.000 0.000 0.087
Na 0.000 0.000 0.913
Na 0.333 0.667 0.579
Na 0.333 0.667 0.754
Na 0.667 0.333 0.246
Na 0.667 0.333 0.421
Al 0.000 0.000 0.000
Al 0.333 0.667 0.667
Al 0.667 0.333 0.333
Tl 0.000 0.000 0.500
Tl 0.333 0.667 0.167
Tl 0.667 0.333 0.833

Formation enthalpy at 0 K ... 0.228 eV per atom
Offset from the most stable computed form ... 0.146 eV per atom
DOS at the Fermi energy ... 0.5843 states/eV/atom



No. 12
# AlGaHgI4

AlGaHgI4 after structural relaxation (PBE-GGA, Alexandria via LeMat-Bulk).

Lattice parameters (Å, degrees): 8.227 8.227 10.992 103.03 103.03 83.56
Sites, in units of the cell vectors:
Al 0.156 0.156 0.272
Al 0.844 0.844 0.728
Ga 0.263 0.263 0.965
Ga 0.737 0.737 0.035
Hg 0.491 0.491 0.831
Hg 0.509 0.509 0.169
I 0.004 0.634 0.866
I 0.048 0.048 0.711
I 0.306 0.306 0.486
I 0.366 0.996 0.134
I 0.634 0.004 0.866
I 0.694 0.694 0.514
I 0.952 0.952 0.289
I 0.996 0.366 0.134

DOS at the Fermi energy ... 0.0000 states/eV/atom
Formation energy without anion corrections ... -3.25 eV/f.u.



No. 13
# BaTaRe2

BaTaRe2 after structural relaxation (PBE-GGA, Alexandria via LeMat-Bulk).

Lattice parameters (Å, degrees): 9.791 3.191 6.344 90.00 102.44 90.00
Sites, in units of the cell vectors:
Ba 0.000 0.000 0.000
Ba 0.500 0.500 0.000
Ta 0.298 0.500 0.375
Ta 0.798 0.000 0.375
Re 0.016 0.500 0.522
Re 0.221 0.000 0.640
Re 0.516 0.000 0.522
Re 0.721 0.500 0.640

Formation enthalpy at 0 K ... 0.773 eV per atom
Offset from the most stable computed form ... 0.122 eV per atom
DOS at the Fermi energy ... 1.0269 states/eV/atom



No. 14
# MnFeIr2

MnFeIr2 after structural relaxation (PBE-GGA, Alexandria via LeMat-Bulk).

Lattice parameters (Å, degrees): 2.762 4.582 8.746 90.00 90.00 90.00
Sites, in units of the cell vectors:
Mn 0.000 0.000 0.000
Mn 0.500 0.500 0.000
Fe 0.000 0.500 0.236
Fe 0.500 0.000 0.236
Ir 0.000 0.000 0.480
Ir 0.000 0.500 0.757
Ir 0.500 0.000 0.757
Ir 0.500 0.500 0.480

Formation enthalpy at 0 K ... 0.193 eV per atom
Offset from the most stable computed form ... 0.383 eV per atom
DOS at the Fermi energy ... 1.2571 states/eV/atom



No. 15
# Cs2ScAg

Cs2ScAg after structural relaxation (PBE-GGA, Alexandria via LeMat-Bulk).

Lattice parameters (Å, degrees): 9.273 9.273 9.273 90.00 90.00 90.00
Sites, in units of the cell vectors:
Cs 0.250 0.250 0.250
Cs 0.250 0.250 0.750
Cs 0.250 0.750 0.250
Cs 0.250 0.750 0.750
Cs 0.750 0.250 0.250
Cs 0.750 0.250 0.750
Cs 0.750 0.750 0.250
Cs 0.750 0.750 0.750
Sc 0.000 0.000 0.000
Sc 0.000 0.500 0.500
Sc 0.500 0.000 0.500
Sc 0.500 0.500 0.000
Ag 0.000 0.000 0.500
Ag 0.000 0.500 0.000
Ag 0.500 0.000 0.000
Ag 0.500 0.500 0.500

Formation enthalpy at 0 K ... 0.755 eV per atom
DOS at the Fermi energy ... 1.5005 states/eV/atom



No. 16
# CsNb3Te

CsNb3Te after structural relaxation (PBE-GGA, Alexandria via LeMat-Bulk).

Lattice parameters (Å, degrees): 5.256 5.256 5.256 90.00 90.00 90.00
Sites, in units of the cell vectors:
Cs 0.000 0.000 0.000
Nb 0.000 0.500 0.500
Nb 0.500 0.000 0.500
Nb 0.500 0.500 0.000
Te 0.500 0.500 0.500

Offset from the most stable computed form ... 0.000 eV per atom
DOS at the Fermi energy ... 1.6750 states/eV/atom
Formation energy without anion corrections ... 8.12 eV/f.u.



No. 17
# Rb3TlHg

Rb3TlHg after structural relaxation (PBE-GGA, Alexandria via LeMat-Bulk).

Lattice parameters (Å, degrees): 7.095 7.095 12.771 90.00 90.00 129.35
Sites, in units of the cell vectors:
Rb 0.126 0.874 0.750
Rb 0.167 0.833 0.083
Rb 0.167 0.833 0.417
Rb 0.833 0.167 0.583
Rb 0.833 0.167 0.917
Rb 0.874 0.126 0.250
Tl 0.439 0.561 0.750
Tl 0.561 0.439 0.250
Hg 0.500 0.500 0.000
Hg 0.500 0.500 0.500

Formation enthalpy at 0 K ... -0.066 eV per atom
Offset from the most stable computed form ... 0.000 eV per atom
DOS at the Fermi energy ... 0.8825 states/eV/atom



No. 18
# Na3TiS

Na3TiS after structural relaxation (PBE-GGA, Alexandria via LeMat-Bulk).

Lattice parameters (Å, degrees): 5.743 5.743 5.743 90.00 90.00 90.00
Sites, in units of the cell vectors:
Na 0.000 0.000 0.500
Na 0.000 0.500 0.000
Na 0.500 0.000 0.000
Ti 0.000 0.000 0.000
S 0.500 0.500 0.500

Offset from the most stable computed form ... 0.671 eV per atom
DOS at the Fermi energy ... 1.6832 states/eV/atom
Formation energy without anion corrections ... 5.02 eV/f.u.



No. 19
# CsKGa2As2

CsKGa2As2 after structural relaxation (PBE-GGA, Alexandria via LeMat-Bulk).

Lattice parameters (Å, degrees): 4.202 4.202 11.949 90.00 90.00 120.00
Sites, in units of the cell vectors:
Cs 0.000 0.000 0.000
K 0.000 0.000 0.500
Ga 0.333 0.667 0.770
Ga 0.667 0.333 0.230
As 0.333 0.667 0.296
As 0.667 0.333 0.704

Formation enthalpy at 0 K ... -0.302 eV per atom
DOS at the Fermi energy ... 0.5905 states/eV/atom



no.,M_tot (μB per formula unit)
1,0.00
2,0.00
3,0.00
4,0.98
5,0.00
6,0.00
7,0.12
8,0.00
9,0.00
10,0.00
11,0.00
12,0.00
13,0.00
14,6.00
15,1.91
16,1.54
17,0.00
18,3.00
19,0.00